# ReMoSe2F, optimized geometry, DFT PBE with a Hubbard U
data_ReMoSe2F
_chemical_formula_sum 'Re1 Mo1 Se2 F1'
_cell_length_a 5.1882
_cell_length_b 5.1882
_cell_length_c 4.0733
_cell_angle_alpha 90.00
_cell_angle_beta 90.00
_cell_angle_gamma 90.00
_space_group_name_H-M_alt 'P 4/m m m'
_space_group_IT_number 123
_space_group_name_Hall '-P 4 2'
loop_
_atom_site_label
_atom_site_type_symbol
_atom_site_fract_x
_atom_site_fract_y
_atom_site_fract_z
Re1 Re 0.0000 0.0000 0.0000
Mo1 Mo 0.5000 0.5000 0.5000
Se1 Se 0.0000 0.5000 0.5000
F1 F 0.5000 0.5000 0.0000
# total DFT energy (no corrections) = -26.36 eV for the cell shown
# spin magnetization = 7.8 μB/f.u.